Record 1
Density functional theory data (PBEsol) for crystalline BaSr5 at its relaxed geometry.

Computed properties:
Density in Mg/m³: 3.01
Energy of formation in kJ per mole of atoms: 0.6
Total moment in Bohr magnetons per cell: 0.00

abc: 7.275 7.275 6.928
angles: 90.00 90.00 120.00
Element x y z (fractional)
Ba: 0.000 0.000 0.000
Sr: 0.000 0.335 0.500
Sr: 0.333 0.667 0.000
Sr: 0.335 0.000 0.500
Sr: 0.665 0.665 0.500
Sr: 0.667 0.333 0.000



Record 2
Density functional theory data (PBEsol) for crystalline LiLaN2F at its relaxed geometry.

Computed properties:
Density in Mg/m³: 3.71
Total moment in Bohr magnetons per cell: 0.00
Energy relative to the elements, uncorrected in kJ per mole of atoms: -42

abc: 4.278 4.278 4.716
angles: 90.00 90.00 90.00
Element x y z (fractional)
Li: 0.000 0.000 0.000
La: 0.500 0.500 0.500
N: 0.000 0.500 0.500
N: 0.500 0.000 0.500
F: 0.500 0.500 0.000



Record 3
Density functional theory data (PBEsol) for crystalline LiGdGe at its relaxed geometry.

Computed properties:
Density in Mg/m³: 6.48
Energy of formation in kJ per mole of atoms: -70.5
Total moment in Bohr magnetons per cell: 20.99

abc: 7.027 7.027 4.260
angles: 90.00 90.00 120.00
Element x y z (fractional)
Li: 0.000 0.767 0.000
Li: 0.233 0.233 0.000
Li: 0.767 0.000 0.000
Gd: 0.000 0.425 0.500
Gd: 0.425 0.000 0.500
Gd: 0.575 0.575 0.500
Ge: 0.000 0.000 0.500
Ge: 0.333 0.667 0.000
Ge: 0.667 0.333 0.000



Record 4
Density functional theory data (PBEsol) for crystalline SbOs4Se at its relaxed geometry.

Computed properties:
Density in Mg/m³: 15.65
Total moment in Bohr magnetons per cell: 0.00
Energy relative to the elements, uncorrected in kJ per mole of atoms: 113

abc: 5.245 5.245 5.245
angles: 60.00 60.00 60.00
Element x y z (fractional)
Sb: 0.000 0.000 0.000
Os: 0.375 0.375 0.375
Os: 0.375 0.375 0.874
Os: 0.375 0.874 0.375
Os: 0.874 0.375 0.375
Se: 0.750 0.750 0.750